Record 1
# LiPa2VN5, optimized geometry, DFT PBE-GGA
data_LiPa2VN5
_cell_length_a 3.2580
_cell_length_b 13.0975
_cell_length_c 9.6295
_cell_angle_alpha 90.00
_cell_angle_beta 90.00
_cell_angle_gamma 90.00
_symmetry_space_group_name_H-M 'C m c 21'
_symmetry_Int_Tables_number 36
loop_
_symmetry_equiv_pos_as_xyz
'x,y,z'
'-x,-y,z+1/2'
'-x,y,z'
'x,-y,z+1/2'
'x+1/2,y+1/2,z'
'-x+1/2,-y+1/2,z+1/2'
'-x+1/2,y+1/2,z'
'x+1/2,-y+1/2,z+1/2'
loop_
_atom_site_label
_atom_site_type_symbol
_atom_site_fract_x
_atom_site_fract_y
_atom_site_fract_z
_atom_site_occupancy
Li1 Li 0.0000 0.0291 0.0000 1
Pa1 Pa 0.0000 0.3633 0.8396 1
Pa2 Pa 0.0000 0.3844 0.2234 1
V1 V 0.0000 0.3078 0.5424 1
N1 N 0.0000 0.0056 0.3003 1
N2 N 0.0000 0.1391 0.5389 1
N3 N 0.0000 0.1931 0.8984 1
N4 N 0.0000 0.2134 0.1931 1
N5 N 0.0000 0.4355 0.5879 1
# Total magnetization: 0.00 μB per formula unit
# Total energy: -9.1412 eV/atom
# E_form (uncorrected): -10.6 eV per formula unit
# D(E_F): 0.169 states/eV/atom


Record 2
# Sb2TeRu, optimized geometry, DFT PBE-GGA
data_Sb2TeRu
_cell_length_a 3.2249
_cell_length_b 4.8891
_cell_length_c 12.1485
_cell_angle_alpha 90.00
_cell_angle_beta 90.00
_cell_angle_gamma 90.00
_symmetry_space_group_name_H-M 'I m m m'
_symmetry_Int_Tables_number 71
_symmetry_space_group_name_Hall '-I 2 2'
loop_
_atom_site_label
_atom_site_type_symbol
_atom_site_fract_x
_atom_site_fract_y
_atom_site_fract_z
_atom_site_occupancy
Sb1 Sb 0.0000 0.0000 0.1825 1
Te1 Te 0.0000 0.5000 0.0000 1
Ru1 Ru 0.0000 0.5000 0.5000 1
# Total magnetization: 0.00 μB per formula unit
# Total energy: -5.0199 eV/atom
# E_form (uncorrected): 0.6 eV per formula unit
# D(E_F): 0.810 states/eV/atom


Record 3
# Dy5Y2Th5, optimized geometry, DFT PBE-GGA
data_Dy5Y2Th5
_cell_length_a 15.0720
_cell_length_b 5.0378
_cell_length_c 11.3015
_cell_angle_alpha 90.00
_cell_angle_beta 116.36
_cell_angle_gamma 90.00
_symmetry_space_group_name_H-M 'C 1 2/m 1'
_symmetry_Int_Tables_number 12
loop_
_symmetry_equiv_pos_as_xyz
'x,y,z'
'-x,-y,-z'
'-x,y,-z'
'x,-y,z'
'x+1/2,y+1/2,z'
'-x+1/2,-y+1/2,-z'
'-x+1/2,y+1/2,-z'
'x+1/2,-y+1/2,z'
loop_
_atom_site_label
_atom_site_type_symbol
_atom_site_fract_x
_atom_site_fract_y
_atom_site_fract_z
_atom_site_occupancy
Dy1 Dy 0.0000 0.0000 0.0000 1
Dy2 Dy 0.0848 0.0000 0.7480 1
Dy3 Dy 0.1679 0.0000 0.5046 1
Y1 Y 0.0831 0.5000 0.2502 1
Th1 Th 0.0000 0.5000 0.5000 1
Th2 Th 0.1695 0.5000 0.0032 1
Th3 Th 0.2489 0.5000 0.7533 1
# Total magnetization: 0.00 μB per formula unit
# ΔE_f: 0.047 eV/atom
# Total energy: -6.0390 eV/atom
# D(E_F): 1.537 states/eV/atom


Record 4
# La2Pm3Si4, optimized geometry, DFT PBE-GGA
data_La2Pm3Si4
_cell_length_a 7.9205
_cell_length_b 7.9782
_cell_length_c 7.7790
_cell_angle_alpha 90.00
_cell_angle_beta 105.71
_cell_angle_gamma 90.00
_symmetry_space_group_name_H-M 'P 1 21/c 1'
_symmetry_Int_Tables_number 14
loop_
_symmetry_equiv_pos_as_xyz
'x,y,z'
'-x,-y,-z'
'-x,y+1/2,-z+1/2'
'x,-y+1/2,z+1/2'
loop_
_atom_site_label
_atom_site_type_symbol
_atom_site_fract_x
_atom_site_fract_y
_atom_site_fract_z
_atom_site_occupancy
La1 La 0.2027 0.1816 0.0924 1
Pm1 Pm 0.2422 0.6825 0.2550 1
Pm2 Pm 0.5000 0.0000 0.5000 1
Si1 Si 0.0806 0.5269 0.8874 1
Si2 Si 0.4945 0.1149 0.8820 1
# Total magnetization: 0.00 μB per formula unit
# Excess energy over the best structure of this formula in the dataset: 0.0 kJ/mol of formula units
# Total energy: -5.8043 eV/atom
# E_form (uncorrected): -6.4 eV per formula unit
# D(E_F): 1.136 states/eV/atom


Record 5
# BaMgCu, optimized geometry, DFT PBE-GGA
data_BaMgCu
_cell_length_a 4.5204
_cell_length_b 4.5204
_cell_length_c 18.0243
_cell_angle_alpha 90.00
_cell_angle_beta 90.00
_cell_angle_gamma 90.00
_symmetry_space_group_name_H-M 'I 4/m m m'
_symmetry_Int_Tables_number 139
_symmetry_space_group_name_Hall '-I 4 2'
loop_
_atom_site_label
_atom_site_type_symbol
_atom_site_fract_x
_atom_site_fract_y
_atom_site_fract_z
_atom_site_occupancy
Ba1 Ba 0.0000 0.0000 0.1616 1
Mg1 Mg 0.0000 0.5000 0.0000 1
Cu1 Cu 0.0000 0.0000 0.4142 1
# Total magnetization: 0.00 μB per formula unit
# ΔE_f: -0.043 eV/atom
# Total energy: -2.5805 eV/atom
# D(E_F): 0.791 states/eV/atom


Record 6
# MgCrIr, optimized geometry, DFT PBE-GGA
data_MgCrIr
_cell_length_a 4.2439
_cell_length_b 4.2439
_cell_length_c 2.7920
_cell_angle_alpha 90.00
_cell_angle_beta 90.00
_cell_angle_gamma 120.00
_symmetry_space_group_name_H-M 'P 3 m 1'
_symmetry_Int_Tables_number 156
loop_
_symmetry_equiv_pos_as_xyz
'x,y,z'
'-y,x-y,z'
'-x+y,-x,z'
'-y,-x,z'
'-x+y,y,z'
'x,x-y,z'
loop_
_atom_site_label
_atom_site_type_symbol
_atom_site_fract_x
_atom_site_fract_y
_atom_site_fract_z
_atom_site_occupancy
Mg1 Mg 0.0000 0.0000 0.0000 1
Cr1 Cr 0.6667 0.3333 0.4031 1
Ir1 Ir 0.3333 0.6667 0.5878 1
# Total magnetization: 0.00 μB per formula unit
# ΔE_f: 0.059 eV/atom
# Excess energy over the best structure of this formula in the dataset: 46.6 kJ/mol of formula units
# Total energy: -6.6340 eV/atom
# D(E_F): 0.761 states/eV/atom